First-principles (GGA-PBE) data for a relaxed MnCoSi crystal, as listed in Alexandria.

The structure in extended XYZ format:
```
12
Lattice="3.6915 0.0000 0.0000 0.0000 4.9798 0.0000 0.0000 0.0000 7.3782" Properties=species:S:1:pos:R:3 pbc="T T T"
Si 0.9229 0.8969 2.8368
Si 2.7686 1.5930 6.5259
Si 2.7686 4.0830 4.5414
Si 0.9229 3.3868 0.8523
Mn 0.9229 3.2822 3.2559
Mn 2.7686 4.1876 6.9450
Mn 2.7686 1.6977 4.1223
Mn 0.9229 0.7923 0.4332
Co 0.9229 0.2782 5.2748
Co 2.7686 2.2117 1.5857
Co 2.7686 4.7017 2.1034
Co 0.9229 2.7681 5.7925
```

Output
DOS(E_F) = 9.27 states/eV/cell
total DFT energy (no corrections) = -7.581 eV per atom
formation energy without anion corrections = -0.35 eV/atom
total magnetization = 0.823 μB/atom
relative energy among the computed polymorphs = 103 meV per atom